# Pr4Ho5Cd PBE-GGA relaxed
# Relative energy among the computed polymorphs: 0.00 eV per formula unit
# V: 320.4 Å³/cell
# Total DFT energy (no corrections): -43.39 eV/f.u.
# Crystal system: tetragonal
data_Pr4Ho5Cd
_symmetry_space_group_name_H-M 'P 1'
_symmetry_Int_Tables_number 1
_symmetry_space_group_name_Hall 'P 1'
_cell_length_a 3.6360
_cell_length_b 3.6361
_cell_length_c 24.2324
_cell_angle_alpha 90.00
_cell_angle_beta 90.00
_cell_angle_gamma 90.00
loop_
_atom_site_label
_atom_site_type_symbol
_atom_site_fract_x
_atom_site_fract_y
_atom_site_fract_z
_atom_site_occupancy
Pr1 Pr 0.0000 0.0000 0.1860 1
Pr2 Pr 0.0000 0.0000 0.3957 1
Pr3 Pr 0.0000 0.0000 0.6043 1
Pr4 Pr 0.0000 0.0000 0.8140 1
Ho1 Ho 0.5000 0.5000 0.0819 1
Ho2 Ho 0.5000 0.5000 0.2907 1
Ho3 Ho 0.5000 0.5000 0.5000 1
Ho4 Ho 0.5000 0.5000 0.7093 1
Ho5 Ho 0.5000 0.5000 0.9181 1
Cd1 Cd 0.0000 0.0000 0.0000 1